[1]
The following is a DFT calculation (meta-GGA SCAN) of a crystal of K2RbTlF6 relaxed with PBEsol.

V: 211 Å³/cell
raw formation energy: -2.47 eV per atom
uncorrected energy: -15.573 eV per atom

Cell lengths 6.686, 6.686, 6.686 Å; angles 60.00, 60.00, 60.00 degrees
Positions (direct):
1 K 0.250 0.250 0.250
2 K 0.750 0.750 0.750
3 Rb 0.000 0.000 0.000
4 Tl 0.500 0.500 0.500
5 F 0.272 0.272 0.728
6 F 0.272 0.728 0.272
7 F 0.272 0.728 0.728
8 F 0.728 0.272 0.272
9 F 0.728 0.272 0.728
10 F 0.728 0.728 0.272



[2]
The following is a DFT calculation (meta-GGA SCAN) of a crystal of LiMnPt2 relaxed with PBEsol.

V: 54 Å³/cell
uncorrected energy: -41.000 eV per atom
formation energy from the elements: -0.742 eV/atom

Cell lengths 3.959, 3.959, 3.443 Å; angles 90.00, 90.00, 90.00 degrees
Positions (direct):
1 Li 0.000 0.000 0.000
2 Mn 0.500 0.500 0.000
3 Pt 0.000 0.500 0.500
4 Pt 0.500 0.000 0.500



[3]
The following is a DFT calculation (meta-GGA SCAN) of a crystal of Ge2Pd2I relaxed with PBEsol.

V: 98 Å³/cell
raw formation energy: -0.13 eV per atom
uncorrected energy: -28.219 eV per atom

Cell lengths 6.597, 6.597, 6.597 Å; angles 144.12, 144.12, 51.65 degrees
Positions (direct):
1 Ge 0.250 0.750 0.500
2 Ge 0.750 0.250 0.500
3 Pd 0.119 0.119 0.000
4 Pd 0.881 0.881 0.000
5 I 0.500 0.500 0.000



[4]
The following is a DFT calculation (meta-GGA SCAN) of a crystal of KRh3Cl relaxed with PBEsol.

V: 107 Å³/cell
raw formation energy: 2.22 eV per atom
uncorrected energy: -21.309 eV per atom

Cell lengths 4.745, 4.745, 4.745 Å; angles 90.00, 90.00, 90.00 degrees
Positions (direct):
1 K 0.000 0.000 0.000
2 Rh 0.000 0.000 0.500
3 Rh 0.000 0.500 0.000
4 Rh 0.500 0.000 0.000
5 Cl 0.500 0.500 0.500